[1]
The following is a PBE calculation of a geometry-optimized BaIrPt2 structure, from Alexandria.

a = 3.0168 Å, b = 3.0168 Å, c = 29.7998 Å
α = 90.00°, β = 90.00°, γ = 120.00°
Space group R-3m (No. 166, hexagonal axes)
Asymmetric unit:
Ba: 0.0000 0.0000 0.0000 x3
Ir: 0.0000 0.0000 0.5000 x3
Pt: 0.0000 0.0000 0.2372 x6

Properties
energy above the most stable polymorph in this dataset	943.1	meV per atom
density of states at the Fermi level	1.259	states/eV/atom
formation enthalpy at 0 K	0.55	eV/atom
total energy	-5.1701	eV/atom


[2]
The following is a PBE calculation of a geometry-optimized BaIr2Pt structure, from Alexandria.

a = 4.8895 Å, b = 4.8895 Å, c = 18.0805 Å
α = 90.00°, β = 90.00°, γ = 90.00°
Space group I4_1/amd (No. 141, origin choice 2)
Asymmetric unit:
Ba: 0.0000 0.2500 0.3750 x4
Ir: 0.0000 0.0000 0.0000 x8
Pt: 0.0000 0.2500 0.8750 x4

Properties
energy above the most stable polymorph in this dataset	298.0	meV per atom
density of states at the Fermi level	0.880	states/eV/atom
formation enthalpy at 0 K	0.09	eV/atom
total energy	-6.3318	eV/atom


[3]
The following is a PBE calculation of a geometry-optimized BaIr2Pt structure, from Alexandria.

a = 2.9788 Å, b = 2.9788 Å, c = 29.9319 Å
α = 90.00°, β = 90.00°, γ = 120.00°
Space group R-3m (No. 166, hexagonal axes)
Asymmetric unit:
Ba: 0.0000 0.0000 0.0000 x3
Ir: 0.0000 0.0000 0.2368 x6
Pt: 0.0000 0.0000 0.5000 x3

Properties
energy above the most stable polymorph in this dataset	983.9	meV per atom
density of states at the Fermi level	1.600	states/eV/atom
formation enthalpy at 0 K	0.78	eV/atom
total energy	-5.6458	eV/atom